(1)
! GGA-PBEsol Zr2Al2Ni, optimized geometry; values from VASP
&SYSTEM
  ibrav = 0, nat = 10, ntyp = 3
/
ATOMIC_SPECIES
Al 26.98 Al.upf
Zr 91.22 Zr.upf
Ni 58.69 Ni.upf
ATOMIC_POSITIONS crystal
Al 0.0140 0.2352 0.5100
Al 0.9860 0.7648 0.4900
Al 0.2352 0.0140 0.0100
Al 0.7648 0.9860 0.9900
Zr 0.2548 0.4621 0.1438
Zr 0.7452 0.5379 0.8562
Zr 0.4621 0.2548 0.6438
Zr 0.5379 0.7452 0.3562
Ni 0.1951 0.8049 0.7500
Ni 0.8049 0.1951 0.2500
CELL_PARAMETERS angstrom
5.4478 0.0006 0.0008
2.6956 4.7342 0.0008
1.4292 0.8310 6.6435
! **Calculated formation energy**: -0.492 eV per atom

(2)
! GGA-PBEsol K2AgPb, optimized geometry; values from VASP
&SYSTEM
  ibrav = 0, nat = 4, ntyp = 3
/
ATOMIC_SPECIES
K 39.10 K.upf
Pb 207.20 Pb.upf
Ag 107.87 Ag.upf
ATOMIC_POSITIONS crystal
K 0.2305 0.4611 0.6918
K 0.0188 0.0377 0.0561
Pb 0.4586 0.9171 0.3758
Ag 0.7921 0.5841 0.3763
CELL_PARAMETERS angstrom
-2.1142 -0.1802 4.5845
-2.7624 -1.0500 -4.0985
4.1150 -5.2774 1.6902
! **Calculated formation energy**: -0.020 eV per atom

(3)
! GGA-PBEsol NbCr2TeSe, optimized geometry; values from VASP
&SYSTEM
  ibrav = 0, nat = 5, ntyp = 4
/
ATOMIC_SPECIES
Cr 52.00 Cr.upf
Te 127.60 Te.upf
Se 78.96 Se.upf
Nb 92.91 Nb.upf
ATOMIC_POSITIONS crystal
Cr 0.5000 0.0000 0.0000
Cr 0.0000 0.5000 0.0000
Te 0.0000 0.0000 0.5000
Se 0.0000 0.0000 0.0000
Nb 0.5000 0.5000 0.5000
CELL_PARAMETERS angstrom
4.3889 0.0000 0.0000
0.0000 4.3889 0.0000
0.0000 0.0000 5.5798
! **Formation energy (no corrections)**: 1.133 eV per atom

(4)
! GGA-PBEsol Al2BrO, optimized geometry; values from VASP
&SYSTEM
  ibrav = 0, nat = 8, ntyp = 3
/
ATOMIC_SPECIES
O 16.00 O.upf
Al 26.98 Al.upf
Br 79.90 Br.upf
ATOMIC_POSITIONS crystal
O 0.7500 0.2500 0.5000
O 0.5000 0.5000 0.0000
Al 0.6838 0.3750 0.2500
Al 0.5662 0.8750 0.2500
Al 0.6250 0.4338 0.7500
Al 0.1250 0.3162 0.7500
Br 0.0000 0.0000 0.0000
Br 0.2500 0.7500 0.5000
CELL_PARAMETERS angstrom
-3.7294 -1.8788 -2.8010
2.8587 0.4550 -4.1115
2.5834 -4.8594 4.3332
! **Formation energy (no corrections)**: -0.750 eV per atom

(5)
! GGA-PBEsol SrYRe2, optimized geometry; values from VASP
&SYSTEM
  ibrav = 0, nat = 4, ntyp = 3
/
ATOMIC_SPECIES
Y 88.91 Y.upf
Sr 87.62 Sr.upf
Re 186.21 Re.upf
ATOMIC_POSITIONS crystal
Y 0.5000 0.0000 0.0000
Sr 0.5000 0.5000 0.5000
Re 0.0000 0.0000 0.5000
Re 0.0000 0.5000 0.0000
CELL_PARAMETERS angstrom
2.7971 0.0000 0.0000
0.0000 5.4592 0.0000
0.0000 0.0000 5.4592
! **Calculated formation energy**: 1.143 eV per atom

(6)
! GGA-PBEsol POsPb, optimized geometry; values from VASP
&SYSTEM
  ibrav = 0, nat = 3, ntyp = 3
/
ATOMIC_SPECIES
P 30.97 P.upf
Os 190.23 Os.upf
Pb 207.20 Pb.upf
ATOMIC_POSITIONS crystal
P 0.0000 0.0000 0.0000
Os 0.2500 0.2500 0.2500
Pb 0.5000 0.5000 0.5000
CELL_PARAMETERS angstrom
4.3549 0.0000 0.0000
2.1775 3.7715 0.0000
2.1775 1.2572 3.5558
! **Calculated formation energy**: 0.661 eV per atom

(7)
! GGA-PBEsol CrAg2Os, optimized geometry; values from VASP
&SYSTEM
  ibrav = 0, nat = 4, ntyp = 3
/
ATOMIC_SPECIES
Cr 52.00 Cr.upf
Os 190.23 Os.upf
Ag 107.87 Ag.upf
ATOMIC_POSITIONS crystal
Cr 0.5000 0.5000 0.0000
Os 0.2500 0.7500 0.5000
Ag 0.0000 0.0000 0.0000
Ag 0.7500 0.2500 0.5000
CELL_PARAMETERS angstrom
-1.2674 -3.6008 -1.0837
-0.2957 -1.0446 3.8168
-2.7449 3.5454 -1.3051
! **Calculated formation energy**: 0.653 eV per atom

(8)
! GGA-PBEsol CaRe2As, optimized geometry; values from VASP
&SYSTEM
  ibrav = 0, nat = 4, ntyp = 3
/
ATOMIC_SPECIES
Re 186.21 Re.upf
As 74.92 As.upf
Ca 40.08 Ca.upf
ATOMIC_POSITIONS crystal
Re 0.5000 0.5000 0.5000
Re 0.0000 0.0000 0.5000
As 0.5000 0.0000 0.0000
Ca 0.0000 0.5000 0.0000
CELL_PARAMETERS angstrom
2.7041 -0.0030 0.0000
-0.0102 4.8108 0.0000
-1.3469 -2.4039 5.2371
! **Calculated formation energy**: 0.527 eV per atom

(9)
! GGA-PBEsol Te2Pb, optimized geometry; values from VASP
&SYSTEM
  ibrav = 0, nat = 12, ntyp = 2
/
ATOMIC_SPECIES
Te 127.60 Te.upf
Pb 207.20 Pb.upf
ATOMIC_POSITIONS crystal
Te 0.8954 0.1046 0.6046
Te 0.6046 0.6046 0.6046
Te 0.1046 0.8954 0.3954
Te 0.1046 0.6046 0.8954
Te 0.3954 0.1046 0.8954
Te 0.3954 0.3954 0.3954
Te 0.6046 0.8954 0.1046
Te 0.8954 0.3954 0.1046
Pb 0.0000 0.0000 0.0000
Pb 0.0000 0.5000 0.5000
Pb 0.5000 0.5000 0.0000
Pb 0.5000 0.0000 0.5000
CELL_PARAMETERS angstrom
-0.0877 1.5677 -7.4506
7.0089 -2.8937 -0.6914
-2.9738 -6.8663 -1.4097
! **Formation energy (no corrections)**: -0.148 eV per atom

(10)
! GGA-PBEsol TlGaPb3, optimized geometry; values from VASP
&SYSTEM
  ibrav = 0, nat = 5, ntyp = 3
/
ATOMIC_SPECIES
Tl 204.38 Tl.upf
Ga 69.72 Ga.upf
Pb 207.20 Pb.upf
ATOMIC_POSITIONS crystal
Tl 0.0000 0.0000 0.0000
Ga 0.5000 0.5000 0.5000
Pb 0.5000 0.0000 0.0000
Pb 0.0000 0.0000 0.5000
Pb 0.0000 0.5000 0.0000
CELL_PARAMETERS angstrom
5.7684 0.0000 0.0000
0.0000 5.7684 0.0000
0.0000 0.0000 5.7684
! **Calculated formation energy**: 0.726 eV per atom

(11)
! GGA-PBEsol Sr4CaCr2S2O6, optimized geometry; values from VASP
&SYSTEM
  ibrav = 0, nat = 15, ntyp = 5
/
ATOMIC_SPECIES
Cr 52.00 Cr.upf
Sr 87.62 Sr.upf
O 16.00 O.upf
S 32.06 S.upf
Ca 40.08 Ca.upf
ATOMIC_POSITIONS crystal
Cr 0.0000 0.5000 0.3201
Cr 0.5000 0.0000 0.6799
Sr 0.0000 0.5000 0.7955
Sr 0.0000 0.5000 0.5829
Sr 0.5000 0.0000 0.2045
Sr 0.5000 0.0000 0.4171
O 0.0000 0.5000 0.4339
O 0.5000 0.5000 0.3023
O 0.5000 0.5000 0.6977
O 0.0000 0.0000 0.6978
O 0.5000 0.0000 0.5661
O 0.0000 0.0000 0.3022
S 0.0000 0.5000 0.1140
S 0.5000 0.0000 0.8860
Ca 0.0000 0.0000 0.0000
CELL_PARAMETERS angstrom
3.8750 0.0000 0.0000
0.0000 3.8750 0.0000
0.0000 0.0000 16.3799
! **Formation energy (no corrections)**: -2.340 eV per atom

(12)
! GGA-PBEsol ScAl2Si, optimized geometry; values from VASP
&SYSTEM
  ibrav = 0, nat = 4, ntyp = 3
/
ATOMIC_SPECIES
Sc 44.96 Sc.upf
Al 26.98 Al.upf
Si 28.09 Si.upf
ATOMIC_POSITIONS crystal
Sc 0.5000 0.5000 0.0000
Al 0.2500 0.7500 0.5000
Al 0.7500 0.2500 0.5000
Si 0.0000 0.0000 0.0000
CELL_PARAMETERS angstrom
3.8242 0.0000 0.0000
0.0000 3.8242 0.0000
-1.9121 -1.9121 4.4851
! **Formation energy (no corrections)**: -0.453 eV per atom

(13)
! GGA-PBEsol IrSe2, optimized geometry; values from VASP
&SYSTEM
  ibrav = 0, nat = 6, ntyp = 2
/
ATOMIC_SPECIES
Se 78.96 Se.upf
Ir 192.22 Ir.upf
ATOMIC_POSITIONS crystal
Se 0.6877 0.1877 0.3754
Se 0.5623 0.5623 0.1246
Se 0.8123 0.3123 0.6246
Se 0.4377 0.4377 0.8754
Ir 0.2500 0.7500 0.5000
Ir 0.0000 0.0000 0.0000
CELL_PARAMETERS angstrom
3.0704 0.0000 0.0000
0.0000 3.0704 0.0000
-1.5352 -1.5352 12.2325
! **Formation energy (no corrections)**: 0.266 eV per atom

(14)
! GGA-PBEsol ZrScAl2, optimized geometry; values from VASP
&SYSTEM
  ibrav = 0, nat = 4, ntyp = 3
/
ATOMIC_SPECIES
Sc 44.96 Sc.upf
Al 26.98 Al.upf
Zr 91.22 Zr.upf
ATOMIC_POSITIONS crystal
Sc 0.5000 0.5000 0.0000
Al 0.0000 0.0000 0.7482
Al 0.0000 0.0000 0.2518
Zr 0.5000 0.5000 0.5000
CELL_PARAMETERS angstrom
-1.1288 -2.7589 0.5601
2.7027 -1.6344 -2.6031
3.9413 -0.6935 4.5275
! **Calculated formation energy**: -0.443 eV per atom

(15)
! GGA-PBEsol Ag2SI, optimized geometry; values from VASP
&SYSTEM
  ibrav = 0, nat = 8, ntyp = 3
/
ATOMIC_SPECIES
Ag 107.87 Ag.upf
I 126.90 I.upf
S 32.06 S.upf
ATOMIC_POSITIONS crystal
Ag 0.6250 0.5613 0.7500
Ag 0.8113 0.3750 0.2500
Ag 0.4387 0.8750 0.2500
Ag 0.1250 0.1887 0.7500
I 0.0000 0.0000 0.0000
I 0.2500 0.7500 0.5000
S 0.5000 0.5000 0.0000
S 0.7500 0.2500 0.5000
CELL_PARAMETERS angstrom
-2.6687 -3.4443 -4.0568
-4.0229 -1.6653 4.0603
-0.1775 7.1679 -1.6006
! **Formation energy (no corrections)**: -0.012 eV per atom

(16)
! GGA-PBEsol MnCoCu2, optimized geometry; values from VASP
&SYSTEM
  ibrav = 0, nat = 4, ntyp = 3
/
ATOMIC_SPECIES
Cu 63.55 Cu.upf
Mn 54.94 Mn.upf
Co 58.93 Co.upf
ATOMIC_POSITIONS crystal
Cu 0.2533 0.2540 0.5067
Cu 0.7467 0.7460 0.4933
Mn 0.5000 0.0000 0.0000
Co 0.0000 0.5000 0.0000
CELL_PARAMETERS angstrom
2.5474 0.0000 0.0000
0.0000 4.2022 0.0384
-1.2737 -0.8773 4.1749
! **Calculated formation energy**: 0.186 eV per atom

(17)
! GGA-PBEsol Cs2BaZnRh, optimized geometry; values from VASP
&SYSTEM
  ibrav = 0, nat = 5, ntyp = 4
/
ATOMIC_SPECIES
Cs 132.91 Cs.upf
Zn 65.41 Zn.upf
Ba 137.33 Ba.upf
Rh 102.91 Rh.upf
ATOMIC_POSITIONS crystal
Cs 0.0000 0.0000 0.5000
Cs 0.0000 0.5000 0.0000
Zn 0.5000 0.0000 0.0000
Ba 0.5000 0.5000 0.5000
Rh 0.0000 0.0000 0.0000
CELL_PARAMETERS angstrom
-3.5285 -2.5488 2.4961
4.2706 -3.1914 2.7781
0.1764 4.0780 4.4136
! **Calculated formation energy**: 0.498 eV per atom

(18)
! GGA-PBEsol LaFeNi8Ge4, optimized geometry; values from VASP
&SYSTEM
  ibrav = 0, nat = 28, ntyp = 4
/
ATOMIC_SPECIES
Ni 58.69 Ni.upf
La 138.91 La.upf
Ge 72.64 Ge.upf
Fe 55.84 Fe.upf
ATOMIC_POSITIONS crystal
Ni 0.9989 0.9989 0.9978
Ni 0.7938 0.5662 0.9977
Ni 0.8060 0.8060 0.3615
Ni 0.5555 0.5555 0.3615
Ni 0.2963 0.9315 0.9999
Ni 0.5662 0.7938 0.9977
Ni 0.7036 0.0683 0.9999
Ni 0.3017 0.0570 0.3587
Ni 0.2039 0.4315 0.9977
Ni 0.0683 0.7036 0.9999
Ni 0.6973 0.9403 0.6375
Ni 0.5016 0.5016 0.0033
Ni 0.4315 0.2039 0.9977
Ni 0.9315 0.2963 0.9999
Ni 0.0570 0.3017 0.3587
Ni 0.9403 0.6973 0.6375
La 0.2519 0.7519 0.5038
La 0.7519 0.2519 0.5038
Ge 0.7967 0.4487 0.2455
Ge 0.2950 0.2950 0.2430
Ge 0.7034 0.7034 0.7565
Ge 0.5532 0.2004 0.7536
Ge 0.0531 0.0531 0.7565
Ge 0.9480 0.9480 0.2430
Ge 0.4487 0.7967 0.2455
Ge 0.2004 0.5532 0.7536
Fe 0.2036 0.2036 0.6443
Fe 0.4406 0.4406 0.6443
CELL_PARAMETERS angstrom
-1.4261 -2.3949 -7.3741
7.6589 0.8026 -1.6861
-2.1838 -4.7193 6.1410
! **Calculated formation energy**: -0.426 eV per atom

(19)
! GGA-PBEsol TaSi3Hg, optimized geometry; values from VASP
&SYSTEM
  ibrav = 0, nat = 5, ntyp = 3
/
ATOMIC_SPECIES
Si 28.09 Si.upf
Ta 180.95 Ta.upf
Hg 200.59 Hg.upf
ATOMIC_POSITIONS crystal
Si 0.5000 0.0000 0.0000
Si 0.0000 0.5000 0.0000
Si 0.0000 0.0000 0.5000
Ta 0.5000 0.5000 0.5000
Hg 0.0000 0.0000 0.0000
CELL_PARAMETERS angstrom
4.7881 0.0000 0.0000
0.0000 4.7881 0.0000
0.0000 0.0000 4.7881
! **Formation energy (no corrections)**: 1.793 eV per atom

(20)
! GGA-PBEsol BaZn2Si, optimized geometry; values from VASP
&SYSTEM
  ibrav = 0, nat = 4, ntyp = 3
/
ATOMIC_SPECIES
Ba 137.33 Ba.upf
Si 28.09 Si.upf
Zn 65.41 Zn.upf
ATOMIC_POSITIONS crystal
Ba 0.5102 0.4898 0.4898
Si 0.3314 0.1686 0.1686
Zn 0.9808 0.0192 0.0192
Zn 0.6776 0.8224 0.8224
CELL_PARAMETERS angstrom
4.3127 0.0000 0.0000
2.1563 4.8464 -0.0209
2.1563 0.9987 4.7424
! **Formation energy (no corrections)**: 0.027 eV per atom

Computed values of ρ (unit: Mg/m³) for the preceding records, in sequence: 5.72; 4.72; 6.23; 3.26; 10.93; 12.18; 12.94; 11.88; 6.96; 7.75; 4.42; 3.22; 10.08; 4.21; 5.83; 8.94; 5.23; 8.77; 7.05; 4.96.